No. 1
The following is a DFT calculation (PBE) of a relaxed AcTmTe2 crystal.

Values from the calculation:
* formation energy from raw total energies: -5.34 eV/f.u.
* offset from the most stable computed form: 0.007 eV per atom

a = 7.5443 Å, b = 4.3689 Å, c = 8.2941 Å
α = 90.00°, β = 107.78°, γ = 90.00°
With the nearest neighbours (Å) after each atom.
Space group C2/m (No. 12)
Inequivalent atoms, fractional coordinates:
Ac1 0.0000 0.0000 0.0000 (multiplicity 2)  6 Te 3.36-3.37
Tm1 0.0000 0.5000 0.5000 (multiplicity 2)  6 Te 3.05
Te1 0.2392 0.0000 0.7174 (multiplicity 4)  3 Tm 3.05, 3 Ac 3.36-3.37


No. 2
The following is a DFT calculation (PBE) of a relaxed Ac2YTmTe5 crystal.

Values from the calculation:
* formation energy from raw total energies: -9.18 eV/f.u.

a = 5.4705 Å, b = 5.4705 Å, c = 11.6223 Å
α = 90.00°, β = 90.00°, γ = 90.00°
With the nearest neighbours (Å) after each atom.
Space group P4/mmm (No. 123)
Inequivalent atoms, fractional coordinates:
Ac1 0.0000 0.0000 0.2030 (multiplicity 2)  5 Te 3.45-3.61
Y1 0.5000 0.5000 0.5000 (multiplicity 1)  2 Te 2.85
Tm1 0.5000 0.5000 0.0000 (multiplicity 1)  6 Te 2.74-2.96
Te1 0.0000 0.0000 0.5000 (multiplicity 1)  2 Ac 3.45
Te2 0.0000 0.5000 0.0000 (multiplicity 2)  2 Tm 2.74
Te3 0.5000 0.5000 0.2544 (multiplicity 2)  1 Y 2.85, 1 Tm 2.96


No. 3
The following is a DFT calculation (PBE) of a relaxed Ac2UTe crystal.

Values from the calculation:
* formation energy from raw total energies: 0.92 eV/f.u.

a = 3.9369 Å, b = 3.9369 Å, c = 34.9916 Å
α = 90.00°, β = 90.00°, γ = 120.00°
With the nearest neighbours (Å) after each atom.
Space group R-3m (No. 166, hexagonal axes)
Inequivalent atoms, fractional coordinates:
Ac1 0.0000 0.0000 0.0983 (multiplicity 6)  3 Te 3.30, 1 U 3.44
U1 0.0000 0.0000 0.0000 (multiplicity 3)  2 Ac 3.44
Te1 0.0000 0.0000 0.5000 (multiplicity 3)  6 Ac 3.30


No. 4
The following is a DFT calculation (PBE) of a relaxed Ac2UTe5 crystal.

Values from the calculation:
* formation energy from raw total energies: -9.71 eV/f.u.

a = 8.9762 Å, b = 13.7164 Å, c = 4.6339 Å
α = 90.00°, β = 90.00°, γ = 90.00°
With the nearest neighbours (Å) after each atom.
Space group Pbam (No. 55)
Inequivalent atoms, fractional coordinates:
Ac1 0.0417 0.1748 0.0000 (multiplicity 4)  8 Te 3.36-3.51
U1 0.0000 0.5000 0.5000 (multiplicity 2)  6 Te 3.06-3.12
Te1 0.0000 0.0000 0.5000 (multiplicity 2)  4 Ac 3.36
Te2 0.1674 0.6990 0.5000 (multiplicity 4)  1 U 3.12, 2 Ac 3.45
Te3 0.1744 0.4101 0.0000 (multiplicity 4)  2 U 3.06


Q: Among the records above, which one has the highest formation energy from raw total energies?
A: Ac2UTe


Q: Which formula does entry 4 have?
A: Ac2UTe5